# SnGeIrF2

An optimized crystal structure of SnGeIrF2 (PBE, Alexandria via LeMat-Bulk).

Values from the calculation:
The calculation puts the magnetization at 0.00 Bohr magnetons per cell.

abc: 4.002 4.002 5.204
angles: 90.00 90.00 90.00
Space group P4/mmm (No. 123)
Unique sites:
1 Sn 0.000 0.000 0.000 [1 per cell]
2 Ge 0.500 0.500 0.500 [1 per cell]
3 Ir 0.500 0.500 0.000 [1 per cell]
4 F 0.000 0.500 0.500 [2 per cell]

# KGeF2

An optimized crystal structure of KGeF2 (PBE, Alexandria via LeMat-Bulk).

Values from the calculation:
The calculation puts the magnetization at 3.84 Bohr magnetons per cell. The excess energy over the best structure of this formula in the dataset is 0.573 eV/atom.

abc: 6.499 6.499 6.499
angles: 90.00 90.00 90.00
Space group Fm-3m (No. 225)
Unique sites:
1 K 0.000 0.000 0.000 [4 per cell]
2 Ge 0.000 0.000 0.500 [4 per cell]
3 F 0.250 0.250 0.250 [8 per cell]

# KGeF2

An optimized crystal structure of KGeF2 (PBE, Alexandria via LeMat-Bulk).

Values from the calculation:
The calculation puts the magnetization at 0.00 Bohr magnetons per cell. The excess energy over the best structure of this formula in the dataset is 0.354 eV/atom.

abc: 5.348 5.348 12.808
angles: 90.00 90.00 90.00
Space group I-42d (No. 122)
Unique sites:
1 K 0.000 0.000 0.000 [4 per cell]
2 Ge 0.000 0.000 0.500 [4 per cell]
3 F 0.192 0.250 0.625 [8 per cell]

# KGe2F8

An optimized crystal structure of KGe2F8 (PBE, Alexandria via LeMat-Bulk).

Values from the calculation:
The calculation puts the magnetization at 0.00 Bohr magnetons per cell. The excess energy over the best structure of this formula in the dataset is 0.065 eV/atom.

abc: 10.644 6.241 5.130
angles: 90.00 92.88 90.00
Space group C2/m (No. 12)
Unique sites:
1 K 0.000 0.000 0.000 [2 per cell]
2 Ge 0.145 0.500 0.611 [4 per cell]
3 F 0.016 0.500 0.256 [4 per cell]
4 F 0.139 0.211 0.565 [8 per cell]
5 F 0.240 0.500 0.906 [4 per cell]

# K3GeF6

An optimized crystal structure of K3GeF6 (PBE, Alexandria via LeMat-Bulk).

Values from the calculation:
The calculation puts the magnetization at 0.00 Bohr magnetons per cell.

abc: 9.831 12.429 6.450
angles: 90.00 90.00 90.00
Space group Cmc2_1 (No. 36)
Unique sites:
1 K 0.000 0.079 0.000 [4 per cell]
2 K 0.220 0.377 0.071 [8 per cell]
3 Ge 0.000 0.379 0.591 [4 per cell]
4 F 0.000 0.285 0.821 [4 per cell]
5 F 0.000 0.494 0.363 [4 per cell]
6 F 0.139 0.306 0.465 [8 per cell]
7 F 0.176 0.028 0.272 [8 per cell]

# KGeF2

An optimized crystal structure of KGeF2 (PBE, Alexandria via LeMat-Bulk).

Values from the calculation:
The calculation puts the magnetization at 0.00 Bohr magnetons per cell. The excess energy over the best structure of this formula in the dataset is 0.000 eV/atom.

abc: 3.4629 3.4629 22.1971
angles: 90.00 90.00 120.00
Space group R-3m (No. 166, hexagonal axes)
Unique sites:
1 K 0.0000 0.0000 0.0000 [3 per cell]
2 Ge 0.0000 0.0000 0.5000 [3 per cell]
3 F 0.0000 0.0000 0.4066 [6 per cell]

# K3GeF8

An optimized crystal structure of K3GeF8 (PBE, Alexandria via LeMat-Bulk).

Values from the calculation:
The calculation puts the magnetization at 2.00 Bohr magnetons per cell.

abc: 6.497 6.497 9.123
angles: 90.00 90.00 90.00
Space group I-42m (No. 121)
Unique sites:
1 K 0.000 0.000 0.000 [2 per cell]
2 K 0.000 0.500 0.250 [4 per cell]
3 Ge 0.000 0.000 0.500 [2 per cell]
4 F 0.120 0.120 0.708 [8 per cell]
5 F 0.195 0.195 0.454 [8 per cell]

# K3GeF7

An optimized crystal structure of K3GeF7 (PBE, Alexandria via LeMat-Bulk).

Values from the calculation:
The calculation puts the magnetization at 0.21 Bohr magnetons per cell.

abc: 7.648 7.773 6.400
angles: 90.00 92.91 90.00
Space group Cm (No. 8)
Unique sites:
1 K 0.000 0.000 0.000 [2 per cell]
2 K 0.255 0.250 0.463 [4 per cell]
3 Ge 0.012 0.500 0.960 [2 per cell]
4 F 0.003 0.000 0.426 [2 per cell]
5 F 0.145 0.334 0.093 [4 per cell]
6 F 0.161 0.500 0.740 [2 per cell]
7 F 0.366 0.000 0.181 [2 per cell]
8 F 0.382 0.167 0.827 [4 per cell]

# KGeF3

An optimized crystal structure of KGeF3 (PBE, Alexandria via LeMat-Bulk).

Values from the calculation:
The calculation puts the magnetization at 0.00 Bohr magnetons per cell.

abc: 4.634 4.634 4.634
angles: 90.00 90.00 90.00
Space group Pm-3m (No. 221)
Unique sites:
1 K 0.000 0.000 0.000 [1 per cell]
2 Ge 0.500 0.500 0.500 [1 per cell]
3 F 0.000 0.000 0.500 [3 per cell]

# KGe2F8

An optimized crystal structure of KGe2F8 (PBE, Alexandria via LeMat-Bulk).

Values from the calculation:
The calculation puts the magnetization at 0.00 Bohr magnetons per cell. The excess energy over the best structure of this formula in the dataset is 0.000 eV/atom.

abc: 7.3993 7.3993 3.9684
angles: 90.00 90.00 120.00
Space group P-3m1 (No. 164)
Unique sites:
1 K 0.0000 0.0000 0.0000 [1 per cell]
2 Ge 0.3333 0.6667 0.2790 [2 per cell]
3 F 0.1934 0.3867 0.2781 [6 per cell]
4 F 0.3333 0.6667 0.7771 [2 per cell]

# K2GeF6

An optimized crystal structure of K2GeF6 (PBE, Alexandria via LeMat-Bulk).

Values from the calculation:
The calculation puts the magnetization at 0.00 Bohr magnetons per cell.

abc: 5.7342 5.7342 4.7720
angles: 90.00 90.00 120.00
Space group P-3m1 (No. 164)
Unique sites:
1 K 0.3333 0.6667 0.2019 [2 per cell]
2 Ge 0.0000 0.0000 0.5000 [1 per cell]
3 F 0.1530 0.3060 0.7164 [6 per cell]

# KGe2F11

An optimized crystal structure of KGe2F11 (PBE, Alexandria via LeMat-Bulk).

Values from the calculation:
The calculation puts the magnetization at 8.14 Bohr magnetons per cell.

abc: 9.282 9.296 10.852
angles: 90.00 90.00 90.00
Space group Ibam (No. 72)
Unique sites:
1 K 0.000 0.000 0.250 [4 per cell]
2 Ge 0.146 0.353 0.000 [8 per cell]
3 F 0.000 0.500 0.000 [4 per cell]
4 F 0.047 0.258 0.118 [16 per cell]
5 F 0.216 0.287 0.500 [8 per cell]
6 F 0.242 0.451 0.118 [16 per cell]

no.,ΔE_f (raw) (eV per atom),final energy (eV per atom),mass density (g cm⁻³)
1,-0.963,-5.208,8.401
2,-1.369,-3.733,3.623
3,-1.588,-3.952,2.715
4,-2.277,-4.577,3.283
5,-2.497,-4.411,2.562
6,-1.942,-4.306,3.236
7,-2.331,-4.238,2.949
8,-2.734,-4.644,2.823
9,-1.269,-3.534,2.816
10,-2.341,-4.642,2.968
11,-2.754,-4.758,3.236
12,-2.068,-4.277,2.790